#a
## Pm2SmY5 (PBE)

Data for Pm2SmY5 after structural relaxation.

Cell lengths 9.972, 6.579, 10.915 Å; angles 119.46, 117.18, 90.00 degrees
Fractional positions:
Pm (0.175, 0.462, 0.842)
Pm (0.825, 0.538, 0.158)
Pm (0.333, 0.038, 0.158)
Pm (0.667, 0.962, 0.842)
Y (0.891, 0.629, 0.605)
Y (0.714, 0.129, 0.605)
Y (0.109, 0.371, 0.395)
Y (0.689, 0.053, 0.198)
Y (0.491, 0.447, 0.802)
Y (0.286, 0.871, 0.395)
Y (0.059, 0.250, 0.000)
Y (0.311, 0.947, 0.802)
Y (0.509, 0.553, 0.198)
Y (0.941, 0.750, 0.000)
Sm (0.000, 0.000, 0.500)
Sm (0.500, 0.500, 0.500)

Calculated values
crystal system	monoclinic
magnetic moment	0.000	μB/f.u.

#b
## Pm2SmY5 (PBE)

Data for Pm2SmY5 after structural relaxation.

Cell lengths 5.081, 7.197, 14.403 Å; angles 90.00, 90.00, 90.00 degrees
Fractional positions:
Pm (0.500, 0.250, 0.625)
Pm (0.500, 0.750, 0.875)
Pm (0.500, 0.750, 0.375)
Pm (0.500, 0.250, 0.125)
Y (0.000, 0.999, 0.250)
Y (0.000, 0.000, 0.000)
Y (0.000, 0.499, 0.250)
Y (0.500, 0.249, 0.375)
Y (0.500, 0.749, 0.125)
Y (0.500, 0.751, 0.625)
Y (0.000, 0.501, 0.750)
Y (0.500, 0.251, 0.875)
Y (0.000, 0.001, 0.750)
Y (0.000, 0.500, 0.500)
Sm (0.000, 0.500, 0.000)
Sm (0.000, 0.000, 0.500)

Calculated values
crystal system	orthorhombic
magnetic moment	0.000	μB/f.u.

Most stable of them? #b.

#a
## Pm2Sm2Y5 (PBE)

Data for Pm2Sm2Y5 after structural relaxation.

Cell lengths 3.596, 11.354, 8.059 Å; angles 73.84, 77.11, 71.65 degrees
Fractional positions:
Pm (0.222, 0.111, 0.333)
Pm (0.778, 0.889, 0.667)
Y (0.112, 0.554, 0.667)
Y (0.444, 0.223, 0.666)
Y (0.000, 0.000, 0.000)
Y (0.556, 0.777, 0.334)
Y (0.888, 0.446, 0.333)
Sm (0.332, 0.668, 0.000)
Sm (0.668, 0.332, 0.000)

Calculated values
crystal system	triclinic
magnetic moment	0.000	μB/f.u.

#b
## Pm2Sm2Y5 (PBE)

Data for Pm2Sm2Y5 after structural relaxation.

Cell lengths 11.864, 6.833, 10.175 Å; angles 109.62, 125.67, 90.00 degrees
Fractional positions:
Y (0.002, 0.656, 0.500)
Y (0.378, 0.033, 0.286)
Y (0.809, 0.258, 0.105)
Y (0.408, 0.533, 0.286)
Y (0.191, 0.152, 0.895)
Y (0.998, 0.156, 0.500)
Y (0.592, 0.248, 0.714)
Y (0.796, 0.758, 0.105)
Y (0.204, 0.652, 0.895)
Y (0.622, 0.748, 0.714)
Sm (0.500, 0.510, 0.000)
Sm (0.000, 0.010, 0.000)
Sm (0.260, 0.361, 0.500)
Sm (0.740, 0.861, 0.500)
Pm (0.631, 0.187, 0.255)
Pm (0.876, 0.432, 0.745)
Pm (0.369, 0.932, 0.745)
Pm (0.124, 0.687, 0.255)

Calculated values
crystal system	orthorhombic
magnetic moment	0.000	μB/f.u.

Most stable of them? #a.

#a
## Pm6Sm2Y (PBE)

Data for Pm6Sm2Y after structural relaxation.

Cell lengths 6.247, 10.192, 10.192 Å; angles 70.97, 85.03, 85.03 degrees
Fractional positions:
Sm (0.415, 0.567, 0.766)
Sm (0.585, 0.433, 0.234)
Sm (0.085, 0.234, 0.433)
Sm (0.915, 0.766, 0.567)
Pm (0.486, 0.687, 0.407)
Pm (0.014, 0.593, 0.313)
Pm (0.514, 0.313, 0.593)
Pm (0.986, 0.407, 0.687)
Pm (0.820, 0.024, 0.740)
Pm (0.180, 0.976, 0.260)
Pm (0.680, 0.260, 0.976)
Pm (0.151, 0.351, 0.075)
Pm (0.320, 0.740, 0.024)
Pm (0.349, 0.925, 0.649)
Pm (0.651, 0.075, 0.351)
Pm (0.849, 0.649, 0.925)
Y (0.250, 0.098, 0.902)
Y (0.750, 0.902, 0.098)

Calculated values
crystal system	monoclinic
magnetic moment	0.000	μB/f.u.

#b
## Pm6Sm2Y (PBE)

Data for Pm6Sm2Y after structural relaxation.

Cell lengths 3.562, 9.917, 10.563 Å; angles 118.00, 70.31, 90.00 degrees
Fractional positions:
Pm (0.832, 0.667, 0.668)
Pm (0.832, 0.001, 0.668)
Pm (0.168, 0.999, 0.332)
Pm (0.500, 0.332, 0.000)
Pm (0.500, 0.668, 0.000)
Pm (0.168, 0.333, 0.332)
Sm (0.333, 0.333, 0.667)
Sm (0.667, 0.667, 0.333)
Y (0.000, 0.000, 0.000)

Calculated values
crystal system	orthorhombic
magnetic moment	0.001	μB/f.u.

Most stable of them? #b.

#a
## Pm8Sm2Y3 (PBE)

Data for Pm8Sm2Y3 after structural relaxation.

Cell lengths 5.718, 7.714, 11.011 Å; angles 110.51, 89.98, 90.00 degrees
Fractional positions:
Pm (0.000, 0.868, 0.736)
Pm (0.500, 0.189, 0.789)
Pm (0.500, 0.400, 0.211)
Pm (0.500, 0.600, 0.789)
Pm (0.000, 0.132, 0.264)
Pm (0.500, 0.811, 0.211)
Pm (0.999, 0.671, 0.341)
Pm (0.001, 0.329, 0.659)
Y (0.000, 0.715, 0.000)
Y (0.000, 0.285, 0.000)
Y (0.500, 0.000, 0.000)
Sm (0.499, 0.759, 0.519)
Sm (0.501, 0.241, 0.481)

Calculated values
crystal system	monoclinic
magnetic moment	0.000	μB/f.u.

#b
## Pm8Sm2Y3 (PBE)

Data for Pm8Sm2Y3 after structural relaxation.

Cell lengths 6.290, 6.287, 11.477 Å; angles 79.43, 90.05, 99.58 degrees
Fractional positions:
Pm (0.154, 0.923, 0.306)
Pm (0.308, 0.846, 0.616)
Pm (0.846, 0.077, 0.694)
Pm (0.078, 0.462, 0.153)
Pm (0.616, 0.693, 0.230)
Pm (0.692, 0.154, 0.384)
Pm (0.922, 0.538, 0.847)
Pm (0.384, 0.307, 0.770)
Sm (0.231, 0.385, 0.461)
Sm (0.769, 0.615, 0.539)
Y (0.461, 0.769, 0.924)
Y (0.000, 0.000, 0.000)
Y (0.539, 0.231, 0.076)

Calculated values
crystal system	triclinic
magnetic moment	0.000	μB/f.u.

Most stable of them? #b.

#a
## Pm4SmY7 (PBE)

Data for Pm4SmY7 after structural relaxation.

Cell lengths 5.924, 11.794, 6.778 Å; angles 83.09, 64.09, 75.46 degrees
Fractional positions:
Pm (0.224, 0.332, 0.219)
Pm (0.639, 0.224, 0.498)
Pm (0.361, 0.776, 0.502)
Pm (0.776, 0.668, 0.781)
Y (0.789, 0.923, 0.498)
Y (0.500, 0.000, 0.000)
Y (0.367, 0.496, 0.769)
Y (0.069, 0.687, 0.176)
Y (0.931, 0.313, 0.824)
Y (0.211, 0.077, 0.502)
Y (0.633, 0.504, 0.231)
Sm (0.000, 0.000, 0.000)

Calculated values
crystal system	monoclinic
magnetic moment	0.133	μB/f.u.

#b
## Pm4SmY7 (PBE)

Data for Pm4SmY7 after structural relaxation.

Cell lengths 6.885, 6.602, 11.902 Å; angles 75.19, 50.10, 81.82 degrees
Fractional positions:
Y (0.276, 0.814, 0.616)
Y (0.053, 0.322, 0.639)
Y (0.947, 0.678, 0.361)
Y (0.800, 0.512, 0.951)
Y (0.724, 0.186, 0.384)
Y (0.200, 0.488, 0.049)
Y (0.500, 0.000, 0.000)
Pm (0.469, 0.360, 0.716)
Pm (0.310, 0.164, 0.307)
Pm (0.531, 0.640, 0.284)
Pm (0.690, 0.836, 0.693)
Sm (0.000, 0.000, 0.000)

Calculated values
crystal system	triclinic
magnetic moment	0.000	μB/f.u.

Most stable of them? #b.

#a
## Pm5SmY5 (PBE)

Data for Pm5SmY5 after structural relaxation.

Cell lengths 6.063, 9.861, 7.012 Å; angles 108.00, 90.00, 107.90 degrees
Fractional positions:
Pm (0.329, 0.658, 0.813)
Pm (0.625, 0.251, 0.642)
Pm (0.000, 0.000, 0.500)
Pm (0.671, 0.342, 0.187)
Pm (0.375, 0.749, 0.358)
Y (0.179, 0.358, 0.420)
Y (0.825, 0.649, 0.076)
Y (0.500, 0.000, 0.000)
Y (0.821, 0.642, 0.580)
Y (0.175, 0.351, 0.924)
Sm (0.000, 0.000, 0.000)

Calculated values
crystal system	monoclinic
magnetic moment	0.997	μB/f.u.

#b
## Pm5SmY5 (PBE)

Data for Pm5SmY5 after structural relaxation.

Cell lengths 8.642, 8.642, 10.839 Å; angles 51.23, 51.23, 38.77 degrees
Fractional positions:
Pm (0.814, 0.814, 0.383)
Pm (0.814, 0.814, 0.989)
Pm (0.186, 0.186, 0.617)
Pm (0.500, 0.500, 0.000)
Pm (0.186, 0.186, 0.011)
Y (0.254, 0.254, 0.247)
Y (0.500, 0.500, 0.314)
Y (0.500, 0.500, 0.686)
Y (0.000, 0.000, 0.500)
Y (0.746, 0.746, 0.753)
Sm (0.000, 0.000, 0.000)

Calculated values
crystal system	monoclinic
magnetic moment	0.347	μB/f.u.

Most stable of them? #a.

#a
## Pm7Sm2Y2 (PBE)

Data for Pm7Sm2Y2 after structural relaxation.

Cell lengths 8.291, 7.000, 7.000 Å; angles 104.59, 99.51, 99.51 degrees
Fractional positions:
Pm (0.683, 0.424, 0.424)
Pm (0.500, 0.000, 0.000)
Pm (0.333, 0.095, 0.509)
Pm (0.333, 0.509, 0.095)
Pm (0.317, 0.576, 0.576)
Pm (0.667, 0.491, 0.905)
Pm (0.667, 0.905, 0.491)
Sm (0.000, 0.716, 0.284)
Sm (0.000, 0.284, 0.716)
Y (0.973, 0.194, 0.194)
Y (0.027, 0.806, 0.806)

Calculated values
crystal system	monoclinic
magnetic moment	0.000	μB/f.u.

#b
## Pm7Sm2Y2 (PBE)

Data for Pm7Sm2Y2 after structural relaxation.

Cell lengths 8.401, 6.868, 6.868 Å; angles 86.90, 79.14, 79.14 degrees
Fractional positions:
Pm (0.178, 0.504, 0.099)
Pm (0.822, 0.496, 0.901)
Pm (0.478, 0.708, 0.708)
Pm (0.822, 0.901, 0.496)
Pm (0.522, 0.292, 0.292)
Pm (0.178, 0.099, 0.504)
Pm (0.000, 0.000, 0.000)
Sm (0.171, 0.586, 0.586)
Sm (0.829, 0.414, 0.414)
Y (0.500, 0.198, 0.802)
Y (0.500, 0.802, 0.198)

Calculated values
crystal system	monoclinic
magnetic moment	0.000	μB/f.u.

Most stable of them? #a.

#a
## Pm5Sm4Y3 (PBE)

Data for Pm5Sm4Y3 after structural relaxation.

Cell lengths 7.242, 11.459, 13.066 Å; angles 151.29, 56.41, 129.23 degrees
Fractional positions:
Y (0.584, 0.167, 0.333)
Y (0.000, 0.000, 0.500)
Y (0.416, 0.833, 0.667)
Pm (0.333, 0.666, 0.833)
Pm (0.750, 0.500, 0.999)
Pm (0.667, 0.334, 0.167)
Pm (0.500, 0.000, 0.500)
Pm (0.250, 0.500, 0.001)
Sm (0.916, 0.833, 0.667)
Sm (0.833, 0.668, 0.834)
Sm (0.084, 0.167, 0.333)
Sm (0.167, 0.332, 0.166)

Calculated values
crystal system	triclinic
magnetic moment	0.000	μB/f.u.

#b
## Pm5Sm4Y3 (PBE)

Data for Pm5Sm4Y3 after structural relaxation.

Cell lengths 5.980, 8.722, 9.795 Å; angles 105.91, 72.23, 69.95 degrees
Fractional positions:
Sm (0.838, 0.945, 0.379)
Sm (0.162, 0.055, 0.621)
Sm (0.861, 0.222, 0.057)
Sm (0.139, 0.778, 0.943)
Y (0.519, 0.689, 0.272)
Y (0.481, 0.311, 0.728)
Y (0.000, 0.500, 0.500)
Pm (0.373, 0.053, 0.201)
Pm (0.216, 0.457, 0.112)
Pm (0.784, 0.543, 0.888)
Pm (0.500, 0.500, 0.500)
Pm (0.627, 0.947, 0.799)

Calculated values
crystal system	monoclinic
magnetic moment	0.004	μB/f.u.

Most stable of them? #a.